(1)
DyY2Al9 | PBE | optimized geometry

Excess energy over the best structure of this formula in the dataset: 0.000 eV per atom
Formation energy from the elements: -422 meV per atom
SG: P4/mmm

The structure in extended XYZ format:
```
12
Lattice="-3.362 -1.653 2.031 2.278 -0.216 3.595 -3.874 11.764 3.162" Properties=species:S:1:pos:R:3 pbc="T T T"
Al -2.091 9.701 4.434
Al -4.911 8.983 3.652
Al -3.125 6.910 4.921
Al -1.833 2.985 3.866
Al -2.325 1.129 1.541
Al -3.618 5.056 2.596
Al -0.798 5.774 3.378
Al 0.495 1.847 2.323
Al -0.542 -0.935 2.813
Y -1.291 3.919 1.053
Y -2.584 7.845 2.109
Dy 0.000 0.000 0.000
```

(2)
AlTcNi2 | PBE | optimized geometry

Formation energy from the elements: -187 meV per atom
SG: P4/mmm

The structure in extended XYZ format:
```
4
Lattice="-1.706 3.330 0.532 -0.491 -0.814 3.519 3.216 1.519 0.800" Properties=species:S:1:pos:R:3 pbc="T T T"
Ni 1.362 0.353 2.160
Ni 0.000 0.000 0.000
Al 0.755 2.425 0.666
Tc -1.099 1.258 2.026
```

(3)
Nd5Pd3 | PBE | optimized geometry

Formation energy from the elements: -587 meV per atom
SG: P4/ncc

The structure in extended XYZ format:
```
32
Lattice="-5.861 2.596 1.514 2.591 -0.683 11.204 4.572 10.566 -0.413" Properties=species:S:1:pos:R:3 pbc="T T T"
Nd -2.856 2.736 9.219
Nd 0.813 3.353 1.090
Nd 2.504 9.048 4.821
Nd 0.651 6.239 6.152
Nd 4.841 7.199 10.091
Nd 3.818 10.088 8.124
Nd 3.168 4.119 8.895
Nd -0.193 11.671 4.210
Nd -1.274 5.815 3.118
Nd -1.006 1.722 3.791
Nd -3.093 4.184 5.819
Nd -0.211 9.056 1.675
Nd 3.582 4.942 5.396
Nd -2.931 1.298 0.757
Nd 0.000 0.000 0.000
Nd 1.066 7.333 9.577
Nd 2.486 6.433 2.286
Nd 0.308 2.763 7.094
Nd 0.004 4.092 11.020
Nd 0.043 10.222 7.610
Pd 3.227 7.123 7.447
Pd 1.433 1.710 9.781
Pd 1.006 4.058 4.101
Pd -3.285 3.479 2.809
Pd 2.800 9.471 1.767
Pd -2.922 7.590 1.139
Pd -2.288 1.245 6.528
Pd -1.121 5.144 8.332
Pd -0.507 8.633 4.729
Pd 0.008 6.292 0.382
Pd 0.643 -0.052 5.771
Pd 1.657 10.297 10.253
```

(4)
SrTlBi4 | PBE | optimized geometry

Excess energy over the best structure of this formula in the dataset: 0.042 eV per atom
Formation energy from the elements: -208 meV per atom
SG: F-43m

The structure in extended XYZ format:
```
6
Lattice="-1.905 3.538 -5.345 -6.229 2.402 -0.372 -1.087 6.575 0.556" Properties=species:S:1:pos:R:3 pbc="T T T"
Bi -2.631 6.624 -3.044
Bi -5.774 7.836 -3.232
Bi -5.226 4.519 -3.512
Bi -4.813 6.051 -0.535
Tl 0.000 0.000 0.000
Sr -2.305 3.129 -1.290
```

(5)
TlSiAsC2 | PBE | optimized geometry

ΔE_f (raw): 2.809 eV/atom
SG: P4/mmm

The structure in extended XYZ format:
```
5
Lattice="4.266 0.000 0.000 0.000 5.609 0.000 0.000 0.000 4.266" Properties=species:S:1:pos:R:3 pbc="T T T"
Tl 0.000 0.000 0.000
C 2.133 0.000 0.000
C 0.000 0.000 2.133
As 2.133 2.805 2.133
Si 0.000 2.805 0.000
```

(6)
BSbIr3 | PBE | optimized geometry

ΔE_f (raw): 2.588 eV/atom
Excess energy over the best structure of this formula in the dataset: 2.366 eV per atom
SG: Pm-3m

The structure in extended XYZ format:
```
5
Lattice="4.877 0.000 0.000 0.000 4.877 0.000 0.000 0.000 4.877" Properties=species:S:1:pos:R:3 pbc="T T T"
Sb 0.000 0.000 0.000
Ir 2.439 0.000 0.000
Ir 0.000 2.439 0.000
Ir 0.000 0.000 2.439
B 2.439 2.439 2.439
```

Number 1: spin magnetization 0.000 Bohr magnetons per cell, raw total energy -56.3 eV for the cell shown. Number 2: spin magnetization 1.022 Bohr magnetons per cell, raw total energy -26.4 eV for the cell shown. Number 3: spin magnetization 0.000 Bohr magnetons per cell, raw total energy -176.4 eV for the cell shown. Number 4: spin magnetization 0.000 Bohr magnetons per cell, raw total energy -20.8 eV for the cell shown. Number 5: spin magnetization 0.826 Bohr magnetons per cell, raw total energy -16.8 eV for the cell shown. Number 6: spin magnetization 0.827 Bohr magnetons per cell, raw total energy -24.4 eV for the cell shown.